Ga2ReBr | PBE | optimized geometry

abc: 6.6090 6.6090 6.6090
angles: 90.00 90.00 90.00
Positions (direct):
Ga1 0.2500 0.2500 0.2500
Ga2 0.2500 0.2500 0.7500
Ga3 0.2500 0.7500 0.2500
Ga4 0.2500 0.7500 0.7500
Ga5 0.7500 0.2500 0.2500
Ga6 0.7500 0.2500 0.7500
Ga7 0.7500 0.7500 0.2500
Ga8 0.7500 0.7500 0.7500
Re1 0.0000 0.0000 0.0000
Re2 0.0000 0.5000 0.5000
Re3 0.5000 0.0000 0.5000
Re4 0.5000 0.5000 0.0000
Br1 0.0000 0.0000 0.5000
Br2 0.0000 0.5000 0.0000
Br3 0.5000 0.0000 0.0000
Br4 0.5000 0.5000 0.5000

**Crystal system**: cubic
**E**: -4.023 eV per atom
**N(E_F)**: 4.35 states/eV/f.u.